[1]
This record from the Alexandria database describes a geometry-optimized TaInRu2 structure. The functional is PBE-GGA.

```
data_TaInRu2
_cell_length_a 3.1150
_cell_length_b 3.1150
_cell_length_c 24.7998
_cell_angle_alpha 90.00
_cell_angle_beta 90.00
_cell_angle_gamma 120.00
_symmetry_space_group_name_H-M 'R -3 m'
_symmetry_Int_Tables_number 166
_symmetry_space_group_name_Hall '-R 3 2"'
loop_
_atom_site_label
_atom_site_type_symbol
_atom_site_fract_x
_atom_site_fract_y
_atom_site_fract_z
Ta1 Ta 0.0000 0.0000 0.0000
In1 In 0.0000 0.0000 0.5000
Ru1 Ru 0.0000 0.0000 0.2566
```

Computed properties:
Calculated total energy   -8.270 eV per atom
DOS(E_F)   9.74 states/eV per cell


[2]
This record from the Alexandria database describes a geometry-optimized SnSb2Se6 structure. The functional is PBE-GGA.

```
data_SnSb2Se6
_cell_length_a 6.468
_cell_length_b 6.468
_cell_length_c 12.672
_cell_angle_alpha 90.00
_cell_angle_beta 90.00
_cell_angle_gamma 90.00
_symmetry_space_group_name_H-M 'P 42/m n m'
_symmetry_Int_Tables_number 136
_symmetry_space_group_name_Hall '-P 4n 2n'
loop_
_atom_site_label
_atom_site_type_symbol
_atom_site_fract_x
_atom_site_fract_y
_atom_site_fract_z
Sn1 Sn 0.000 0.000 0.000
Sb1 Sb 0.000 0.000 0.334
Se1 Se 0.193 0.193 0.165
Se2 Se 0.196 0.196 0.500
```

Computed properties:
Uncorrected formation energy   -0.0288 eV per atom
Calculated total energy   -3.713 eV per atom
DOS(E_F)   13.37 states/eV per cell